# MnNbRuC2 (meta-GGA SCAN, single point on PBEsol structure)
# Raw total energy in eV for the cell shown: -95.73
# Total magnetic moment in μB per cell: 5.92
# Symmetry: P4/mmm (123)
# ΔE_f in eV per atom: 2.14
data_MnNbRuC2
_chemical_formula_sum 'Mn1 Nb1 Ru1 C2'
_cell_length_a 4.0212
_cell_length_b 4.0212
_cell_length_c 4.7563
_cell_angle_alpha 90.00
_cell_angle_beta 90.00
_cell_angle_gamma 90.00
_space_group_name_H-M_alt 'P 1'
_space_group_IT_number 1
loop_
_space_group_symop_operation_xyz
'x,y,z'
loop_
_atom_site_label
_atom_site_fract_x
_atom_site_fract_y
_atom_site_fract_z
_atom_site_occupancy
Mn1 0.0000 0.0000 0.0000 1
Nb1 0.0000 0.0000 0.5000 1
Ru1 0.5000 0.5000 0.0000 1
C1 0.0000 0.5000 0.5000 1
C2 0.5000 0.0000 0.5000 1